(1)
Entry from Alexandria via LeMat-Bulk: LaY2Zr after structural relaxation (GGA-PBEsol).

distance to the lowest polymorph of the same formula: 0 meV per atom
formation energy: 80 meV per atom
calculated density: 5.829 g/cm3
DOS(E_F): 5.84 states/eV/cell
final energy: -6.940 eV per atom

Lattice parameters (Å, degrees): 3.3963 3.3963 10.0744 90.00 90.00 90.00
Closest atoms and distances in Å follow each position.
Space group P4/mmm (No. 123)
One atom of each set of equivalent atoms:
La1 0.0000 0.0000 0.0000  4 La 3.40, 8 Y 3.69
Y1 0.5000 0.5000 0.2778  4 Zr 3.28, 4 Y 3.40
Zr1 0.0000 0.0000 0.5000  8 Y 3.28, 4 Zr 3.40

(2)
Entry from Alexandria via LeMat-Bulk: Cd2InPb after structural relaxation (GGA-PBEsol).

distance to the lowest polymorph of the same formula: 13 meV per atom
formation energy: 51 meV per atom
calculated density: 9.290 g/cm3
DOS(E_F): 1.67 states/eV/cell
final energy: -2.293 eV per atom

Lattice parameters (Å, degrees): 3.2903 4.4449 6.6833 90.00 90.00 90.00
Closest atoms and distances in Å follow each position.
Space group Pmm2 (No. 25)
One atom of each set of equivalent atoms:
Cd1 0.0000 0.0000 0.0000  1 In 3.08, 6 Cd 3.13-3.29, 4 Pb 3.29
Cd2 0.5000 0.5000 0.2199  6 Cd 3.13-3.29, 4 In 3.20, 2 Pb 3.25-3.43
In1 0.0000 0.0000 0.4602  5 Cd 3.08-3.20, 2 In 3.29, 4 Pb 3.31
Pb1 0.5000 0.5000 0.7338  6 Cd 3.25-3.43, 2 Pb 3.29, 4 In 3.31

(3)
Entry from Alexandria via LeMat-Bulk: Na3Mg2P5O16 after structural relaxation (GGA-PBEsol).

calculated density: 2.638 g/cm3
DOS(E_F): 0.00 states/eV/cell
final energy: -7.024 eV per atom

Lattice parameters (Å, degrees): 5.1935 6.8682 18.6492 90.00 90.17 90.00
Closest atoms and distances in Å follow each position.
Space group P2/c (No. 13)
One atom of each set of equivalent atoms:
Na1 0.0000 0.0289 0.2500  4 O 2.34-2.51
Na2 0.2487 0.3521 0.4676  5 O 2.32-2.45
Mg1 0.2312 0.1790 0.9085  6 O 2.03-2.19
P1 0.2572 0.4742 0.6297  4 O 1.50-1.60
P2 0.2721 0.1209 0.0831  4 O 1.52-1.67
P3 0.5000 0.2581 0.7500  4 O 1.49-1.60
O1 0.0163 0.4322 0.8913  1 P 1.50
O2 0.0979 0.0254 0.6199  1 P 1.52
O3 0.1570 0.2171 0.0164  1 P 1.53
O4 0.2888 0.2986 0.1440  2 P 1.59-1.67
O5 0.3055 0.4031 0.7104  2 P 1.60
O6 0.3386 0.1469 0.8021  1 P 1.49
O7 0.4489 0.0623 0.4269  1 P 1.52
O8 0.4642 0.3972 0.5804  1 P 1.51

(4)
Entry from Alexandria via LeMat-Bulk: Ag3Te after structural relaxation (GGA-PBEsol).

distance to the lowest polymorph of the same formula: 16 meV per atom
calculated density: 9.639 g/cm3
DOS(E_F): 2.39 states/eV/cell
final energy: -3.329 eV per atom

Lattice parameters (Å, degrees): 6.1681 6.1681 4.7182 90.00 90.00 120.00
Closest atoms and distances in Å follow each position.
Space group P6_3/mmc (No. 194)
One atom of each set of equivalent atoms:
Ag1 0.1553 0.3106 0.2500  6 Ag 2.87-2.88, 4 Te 3.03-3.09
Te1 0.3333 0.6667 0.7500  12 Ag 3.03-3.09

(5)
Entry from Alexandria via LeMat-Bulk: BaBeI2 after structural relaxation (GGA-PBEsol).

distance to the lowest polymorph of the same formula: 235 meV per atom
calculated density: 3.978 g/cm3
DOS(E_F): 3.12 states/eV/cell
final energy: -2.664 eV per atom

Lattice parameters (Å, degrees): 5.7483 5.7483 20.2198 90.00 90.00 90.00
Closest atoms and distances in Å follow each position.
Space group I-42d (No. 122)
One atom of each set of equivalent atoms:
Ba1 0.0000 0.0000 0.0000  4 I 3.33
Be1 0.0000 0.0000 0.5000  4 I 3.16
I1 0.2165 0.2500 0.6250  2 Be 3.16, 2 Ba 3.33

(6)
Entry from Alexandria via LeMat-Bulk: CrBiTe2 after structural relaxation (GGA-PBEsol).

calculated density: 7.630 g/cm3
DOS(E_F): 4.54 states/eV/cell
final energy: -5.445 eV per atom

Lattice parameters (Å, degrees): 3.7374 3.7374 27.8592 90.00 90.00 120.00
Closest atoms and distances in Å follow each position.
Space group R-3m (No. 166, hexagonal axes)
One atom of each set of equivalent atoms:
Cr1 0.0000 0.0000 0.0000  6 Te 2.65
Bi1 0.0000 0.0000 0.5000  2 Te 3.10
Te1 0.0000 0.0000 0.3886  3 Cr 2.65

Q: Number 1 is which compound?
A: LaY2Zr